## ErBiPb (PBE)

Data for a geometry-optimized ErBiPb structure.

Cell lengths 5.582, 5.582, 3.356 Å; angles 90.00, 90.00, 120.00 degrees
Fractional coordinates of all 3 atoms:
Er: 0.000 0.000 0.000
Bi: 0.667 0.333 0.503
Pb: 0.333 0.667 0.499

Summary:
Electronic total energy, eV/atom: -4.226

## Er2BiPb (PBE)

Data for a geometry-optimized Er2BiPb structure.

Cell lengths 8.408, 8.408, 8.408 Å; angles 29.19, 29.19, 29.19 degrees
Fractional coordinates of all 4 atoms:
Er: 0.000 0.000 0.000
Er: 0.174 0.174 0.174
Bi: 0.589 0.589 0.589
Pb: 0.420 0.420 0.420

Summary:
Polymorph energy (0 for the lowest one), eV/atom: 0.142

## Er6Bi3Pb (PBE)

Data for a geometry-optimized Er6Bi3Pb structure.

Cell lengths 9.368, 9.368, 7.620 Å; angles 90.00, 90.00, 107.79 degrees
Fractional coordinates of all 20 atoms:
Er: 0.008 0.992 0.500
Er: 0.075 0.526 0.003
Er: 0.249 0.751 0.629
Er: 0.264 0.384 0.622
Er: 0.384 0.264 0.122
Er: 0.474 0.925 0.003
Er: 0.526 0.075 0.503
Er: 0.616 0.736 0.622
Er: 0.736 0.616 0.122
Er: 0.751 0.249 0.129
Er: 0.925 0.474 0.503
Er: 0.992 0.008 0.000
Bi: 0.088 0.285 0.275
Bi: 0.285 0.088 0.775
Bi: 0.421 0.579 0.939
Bi: 0.579 0.421 0.439
Bi: 0.715 0.912 0.275
Bi: 0.912 0.715 0.775
Pb: 0.172 0.828 0.249
Pb: 0.828 0.172 0.749

Summary:
Electronic total energy, eV/atom: -4.722

## Er7Bi2Pb2 (PBE)

Data for a geometry-optimized Er7Bi2Pb2 structure.

Cell lengths 7.062, 7.062, 7.324 Å; angles 90.00, 90.00, 101.45 degrees
Fractional coordinates of all 11 atoms:
Er: 0.000 0.000 0.000
Er: 0.000 0.500 0.279
Er: 0.000 0.500 0.721
Er: 0.500 0.000 0.279
Er: 0.500 0.000 0.721
Er: 0.500 0.500 0.271
Er: 0.500 0.500 0.729
Bi: 0.281 0.719 0.000
Bi: 0.719 0.281 0.000
Pb: 0.184 0.184 0.500
Pb: 0.816 0.816 0.500

Summary:
Electronic total energy, eV/atom: -4.417

## Er5Bi2Pb (PBE)

Data for a geometry-optimized Er5Bi2Pb structure.

Cell lengths 6.566, 6.566, 14.256 Å; angles 90.00, 90.00, 126.36 degrees
Fractional coordinates of all 16 atoms:
Er: 0.074 0.926 0.601
Er: 0.074 0.926 0.899
Er: 0.379 0.621 0.549
Er: 0.379 0.621 0.951
Er: 0.418 0.582 0.250
Er: 0.582 0.418 0.750
Er: 0.621 0.379 0.049
Er: 0.621 0.379 0.451
Er: 0.926 0.074 0.101
Er: 0.926 0.074 0.399
Bi: 0.199 0.801 0.112
Bi: 0.199 0.801 0.388
Bi: 0.801 0.199 0.612
Bi: 0.801 0.199 0.888
Pb: 0.278 0.722 0.750
Pb: 0.722 0.278 0.250

Summary:
Electronic total energy, eV/atom: -4.551

## ErBiPb2 (PBE)

Data for a geometry-optimized ErBiPb2 structure.

Cell lengths 12.419, 12.419, 12.419 Å; angles 16.15, 16.15, 16.15 degrees
Fractional coordinates of all 4 atoms:
Er: 0.000 0.000 0.000
Bi: 0.500 0.500 0.500
Pb: 0.086 0.086 0.086
Pb: 0.914 0.914 0.914

Summary:
Electronic total energy, eV/atom: -3.814

## Er2BiPb (PBE)

Data for a geometry-optimized Er2BiPb structure.

Cell lengths 5.815, 5.815, 3.347 Å; angles 90.00, 90.00, 90.00 degrees
Fractional coordinates of all 4 atoms:
Er: 0.000 0.500 0.000
Er: 0.500 0.000 0.000
Bi: 0.000 0.000 0.500
Pb: 0.500 0.500 0.500

Summary:
Polymorph energy (0 for the lowest one), eV/atom: 0.173

## Er3Bi2Pb (PBE)

Data for a geometry-optimized Er3Bi2Pb structure.

Cell lengths 7.743, 7.743, 7.540 Å; angles 99.76, 99.76, 119.47 degrees
Fractional coordinates of all 12 atoms:
Er: 0.000 0.500 0.000
Er: 0.166 0.333 0.497
Er: 0.333 0.166 0.997
Er: 0.500 0.000 0.500
Er: 0.667 0.834 0.003
Er: 0.834 0.667 0.503
Bi: 0.251 0.749 0.750
Bi: 0.417 0.583 0.250
Bi: 0.583 0.417 0.750
Bi: 0.749 0.251 0.250
Pb: 0.084 0.916 0.250
Pb: 0.916 0.084 0.750

Summary:
Electronic total energy, eV/atom: -4.829

## Er8Bi2Pb (PBE)

Data for a geometry-optimized Er8Bi2Pb structure.

Cell lengths 9.576, 9.576, 6.891 Å; angles 92.57, 92.57, 31.23 degrees
Fractional coordinates of all 11 atoms:
Er: 0.034 0.034 0.244
Er: 0.216 0.216 0.127
Er: 0.338 0.338 0.590
Er: 0.408 0.408 0.061
Er: 0.592 0.592 0.939
Er: 0.662 0.662 0.410
Er: 0.784 0.784 0.873
Er: 0.966 0.966 0.756
Bi: 0.166 0.166 0.676
Bi: 0.834 0.834 0.324
Pb: 0.500 0.500 0.500

Summary:
Electronic total energy, eV/atom: -4.681

## Er8Bi5Pb (PBE)

Data for a geometry-optimized Er8Bi5Pb structure.

Cell lengths 8.074, 8.074, 8.074 Å; angles 109.47, 109.47, 109.48 degrees
Fractional coordinates of all 14 atoms:
Er: 0.024 0.626 0.747
Er: 0.228 0.480 0.105
Er: 0.374 0.121 0.398
Er: 0.376 0.123 0.895
Er: 0.520 0.624 0.748
Er: 0.723 0.976 0.602
Er: 0.877 0.772 0.252
Er: 0.879 0.277 0.253
Bi: 0.000 0.000 0.000
Bi: 0.124 0.249 0.626
Bi: 0.503 0.876 0.126
Bi: 0.623 0.497 0.374
Bi: 0.751 0.377 0.874
Pb: 0.250 0.750 0.500

Summary:
Electronic total energy, eV/atom: -4.901

## Er2BiPb (PBE)

Data for a geometry-optimized Er2BiPb structure.

Cell lengths 4.054, 4.054, 6.894 Å; angles 90.00, 90.00, 90.00 degrees
Fractional coordinates of all 4 atoms:
Er: 0.000 0.000 0.248
Er: 0.000 0.000 0.752
Bi: 0.500 0.500 0.000
Pb: 0.500 0.500 0.500

Summary:
Polymorph energy (0 for the lowest one), eV/atom: 0.147

## Er2BiPb (PBE)

Data for a geometry-optimized Er2BiPb structure.

Cell lengths 8.231, 4.296, 13.796 Å; angles 90.00, 90.00, 90.00 degrees
Fractional coordinates of all 16 atoms:
Er: 0.180 0.250 0.230
Er: 0.183 0.750 0.994
Er: 0.317 0.250 0.494
Er: 0.320 0.750 0.730
Er: 0.680 0.250 0.270
Er: 0.683 0.750 0.506
Er: 0.817 0.250 0.006
Er: 0.820 0.750 0.770
Bi: 0.081 0.250 0.836
Bi: 0.419 0.750 0.336
Bi: 0.581 0.250 0.664
Bi: 0.919 0.750 0.164
Pb: 0.041 0.750 0.579
Pb: 0.459 0.250 0.079
Pb: 0.541 0.750 0.921
Pb: 0.959 0.250 0.421

Summary:
Polymorph energy (0 for the lowest one), eV/atom: 0.092

## Er2BiPb (PBE)

Data for a geometry-optimized Er2BiPb structure.

Cell lengths 12.286, 12.286, 4.409 Å; angles 90.00, 90.00, 158.89 degrees
Fractional coordinates of all 8 atoms:
Er: 0.061 0.939 0.750
Er: 0.316 0.684 0.750
Er: 0.684 0.316 0.250
Er: 0.939 0.061 0.250
Bi: 0.187 0.813 0.750
Bi: 0.813 0.187 0.250
Pb: 0.449 0.551 0.750
Pb: 0.551 0.449 0.250

Summary:
Polymorph energy (0 for the lowest one), eV/atom: 0.000

## Er6Bi5Pb (PBE)

Data for a geometry-optimized Er6Bi5Pb structure.

Cell lengths 7.688, 7.688, 7.715 Å; angles 99.56, 99.56, 120.04 degrees
Fractional coordinates of all 12 atoms:
Er: 0.082 0.413 0.747
Er: 0.247 0.247 0.250
Er: 0.413 0.082 0.747
Er: 0.587 0.918 0.253
Er: 0.753 0.753 0.750
Er: 0.918 0.587 0.253
Bi: 0.169 0.831 0.000
Bi: 0.334 0.666 0.500
Bi: 0.500 0.500 0.000
Bi: 0.666 0.334 0.500
Bi: 0.831 0.169 0.000
Pb: 0.000 0.000 0.500

Summary:
Electronic total energy, eV/atom: -4.934

## Er2BiPb (PBE)

Data for a geometry-optimized Er2BiPb structure.

Cell lengths 8.127, 8.127, 8.127 Å; angles 30.55, 30.55, 30.55 degrees
Fractional coordinates of all 4 atoms:
Er: 0.248 0.248 0.248
Er: 0.752 0.752 0.752
Bi: 0.500 0.500 0.500
Pb: 0.000 0.000 0.000

Summary:
Polymorph energy (0 for the lowest one), eV/atom: 0.054

## Er3BiPb (PBE)

Data for a geometry-optimized Er3BiPb structure.

Cell lengths 8.645, 4.154, 9.077 Å; angles 90.00, 90.65, 90.00 degrees
Fractional coordinates of all 10 atoms:
Er: 0.004 0.250 0.147
Er: 0.343 0.750 0.129
Er: 0.369 0.750 0.616
Er: 0.631 0.250 0.384
Er: 0.657 0.250 0.871
Er: 0.996 0.750 0.853
Bi: 0.281 0.250 0.869
Bi: 0.719 0.750 0.131
Pb: 0.267 0.250 0.379
Pb: 0.733 0.750 0.621

Summary:
Electronic total energy, eV/atom: -4.643

## PmErBiPb (PBE)

Data for a geometry-optimized PmErBiPb structure.

Cell lengths 5.528, 5.528, 5.528 Å; angles 60.00, 60.00, 60.00 degrees
Fractional coordinates of all 4 atoms:
Pm: 0.000 0.000 0.000
Er: 0.500 0.500 0.500
Bi: 0.250 0.250 0.250
Pb: 0.750 0.750 0.750

Summary:
Electronic total energy, eV/atom: -4.690

## ErPuBiPb (PBE)

Data for a geometry-optimized ErPuBiPb structure.

Cell lengths 5.456, 5.456, 5.456 Å; angles 60.00, 60.00, 60.00 degrees
Fractional coordinates of all 4 atoms:
Er: 0.000 0.000 0.000
Pu: 0.500 0.500 0.500
Bi: 0.250 0.250 0.250
Pb: 0.750 0.750 0.750

Summary:
Electronic total energy, eV/atom: -6.910

## Er6BiSb3Pb2 (PBE)

Data for a geometry-optimized Er6BiSb3Pb2 structure.

Cell lengths 9.956, 9.956, 8.972 Å; angles 106.49, 106.49, 24.94 degrees
Fractional coordinates of all 12 atoms:
Er: 0.000 0.000 0.245
Er: 0.000 0.000 0.755
Er: 0.330 0.330 0.416
Er: 0.337 0.337 0.903
Er: 0.663 0.663 0.097
Er: 0.670 0.670 0.584
Bi: 0.500 0.500 0.500
Sb: 0.165 0.165 0.339
Sb: 0.500 0.500 0.000
Sb: 0.835 0.835 0.661
Pb: 0.170 0.170 0.843
Pb: 0.830 0.830 0.157

Summary:
E_form (uncorrected), eV/atom: -0.778

## Er4BiSb2Pb (PBE)

Data for a geometry-optimized Er4BiSb2Pb structure.

Cell lengths 7.592, 4.337, 7.695 Å; angles 90.00, 108.83, 90.00 degrees
Fractional coordinates of all 8 atoms:
Er: 0.247 0.000 0.242
Er: 0.253 0.500 0.757
Er: 0.747 0.500 0.243
Er: 0.753 0.000 0.758
Bi: 0.000 0.000 0.500
Sb: 0.000 0.500 0.000
Sb: 0.500 0.000 0.000
Pb: 0.500 0.500 0.500

Summary:
E_form (uncorrected), eV/atom: -0.819

## Er4BiPbSe2 (PBE)

Data for a geometry-optimized Er4BiPbSe2 structure.

Cell lengths 7.329, 4.257, 7.378 Å; angles 90.00, 109.54, 90.00 degrees
Fractional coordinates of all 8 atoms:
Er: 0.237 0.000 0.241
Er: 0.239 0.500 0.750
Er: 0.761 0.500 0.250
Er: 0.763 0.000 0.759
Bi: 0.500 0.500 0.500
Pb: 0.500 0.000 0.000
Se: 0.000 0.000 0.500
Se: 0.000 0.500 0.000

Summary:
E_form (uncorrected), eV/atom: -1.149

## SmErBiPb (PBE)

Data for a geometry-optimized SmErBiPb structure.

Cell lengths 8.202, 8.202, 8.202 Å; angles 30.73, 30.73, 30.73 degrees
Fractional coordinates of all 4 atoms:
Sm: 0.000 0.000 0.000
Er: 0.496 0.496 0.496
Bi: 0.751 0.751 0.751
Pb: 0.246 0.246 0.246

Summary:
Electronic total energy, eV/atom: -4.828

## Er8Bi3Te4Pb (PBE)

Data for a geometry-optimized Er8Bi3Te4Pb structure.

Cell lengths 8.757, 8.757, 8.757 Å; angles 60.33, 60.33, 60.33 degrees
Fractional coordinates of all 16 atoms:
Er: 0.249 0.249 0.249
Er: 0.253 0.745 0.745
Er: 0.255 0.255 0.747
Er: 0.255 0.747 0.255
Er: 0.745 0.253 0.745
Er: 0.745 0.745 0.253
Er: 0.747 0.255 0.255
Er: 0.751 0.751 0.751
Bi: 0.000 0.000 0.500
Bi: 0.000 0.500 0.000
Bi: 0.500 0.000 0.000
Te: 0.000 0.000 0.000
Te: 0.000 0.500 0.500
Te: 0.500 0.000 0.500
Te: 0.500 0.500 0.000
Pb: 0.500 0.500 0.500

Summary:
E_form (uncorrected), eV/atom: -1.002